Below is crystalline Pu2NpS5 at its relaxed geometry, with properties calculated at the PBE level.

Calculated values
**Crystal system**: orthorhombic
**Total energy**: -9.375 eV/atom
**Space-group type**: Pnma, No. 62

Cell: 11.475 7.932 7.311 Å, 90.00 90.00 90.00°
Element x y z (fractional)
Pu 0.178 0.002 0.022
Pu 0.178 0.498 0.022
Pu 0.322 0.502 0.522
Pu 0.322 0.998 0.522
Pu 0.678 0.002 0.478
Pu 0.678 0.498 0.478
Pu 0.822 0.502 0.978
Pu 0.822 0.998 0.978
Np 0.010 0.250 0.577
Np 0.490 0.750 0.077
Np 0.510 0.250 0.923
Np 0.990 0.750 0.423
S 0.000 0.250 0.961
S 0.000 0.750 0.039
S 0.094 0.547 0.667
S 0.094 0.953 0.667
S 0.189 0.250 0.332
S 0.217 0.750 0.300
S 0.283 0.250 0.800
S 0.311 0.750 0.832
S 0.406 0.047 0.167
S 0.406 0.453 0.167
S 0.500 0.250 0.539
S 0.500 0.750 0.461
S 0.594 0.547 0.833
S 0.594 0.953 0.833
S 0.689 0.250 0.168
S 0.717 0.750 0.200
S 0.783 0.250 0.700
S 0.811 0.750 0.668
S 0.906 0.047 0.333
S 0.906 0.453 0.333

***

Below is crystalline PuNp4S5 at its relaxed geometry, with properties calculated at the PBE level.

Calculated values
**Crystal system**: tetragonal
**Total energy**: -10.112 eV/atom
**Space-group type**: I4/m, No. 87

Cell: 6.776 6.776 6.776 Å, 99.60 99.60 131.79°
Element x y z (fractional)
Pu 0.000 0.000 0.000
Np 0.200 0.601 0.800
Np 0.399 0.200 0.599
Np 0.601 0.800 0.401
Np 0.800 0.399 0.200
S 0.100 0.301 0.402
S 0.301 0.900 0.201
S 0.500 0.500 0.000
S 0.699 0.100 0.799
S 0.900 0.699 0.598